# 1
VASP calculation (PBEsol) on crystalline ZrGeAu2 at its relaxed geometry.

Lattice parameters (Å, degrees): 4.6928 4.6928 4.6928 60.00 60.00 60.00
Element x y z (fractional)
Au1 0.2500 0.2500 0.2500
Zr1 0.5000 0.5000 0.5000
Ge1 0.0000 0.0000 0.0000
Au2 0.7500 0.7500 0.7500

Values from the calculation:
Uncorrected energy, eV per atom: -5.7884
Magnetic moment, μB/f.u.: 0.00
Space group: Fm-3m



# 2
VASP calculation (PBEsol) on crystalline Zr2GeAu2 at its relaxed geometry.

Lattice parameters (Å, degrees): 4.4530 4.4530 6.4656 110.14 110.14 90.00
Element x y z (fractional)
Zr1 0.7500 0.2500 0.5000
Zr2 0.2500 0.7500 0.5000
Au1 0.3889 0.3889 0.7777
Au2 0.6111 0.6111 0.2223
Ge1 0.0000 0.0000 0.0000

Values from the calculation:
Uncorrected energy, eV per atom: -6.1580
Magnetic moment, μB/f.u.: 0.00
Space group: I4/mmm



# 3
VASP calculation (PBEsol) on crystalline Hf3HAu at its relaxed geometry.

Lattice parameters (Å, degrees): 4.3031 4.3031 4.3031 90.00 90.00 90.00
Element x y z (fractional)
Au1 0.5000 0.5000 0.5000
H1 0.0000 0.0000 0.0000
Hf1 0.5000 0.0000 0.0000
Hf2 0.0000 0.0000 0.5000
Hf3 0.0000 0.5000 0.0000

Values from the calculation:
Uncorrected energy, eV per atom: -8.0927
Magnetic moment, μB/f.u.: 0.00
Space group: Pm-3m



# 4
VASP calculation (PBEsol) on crystalline HfH3Au at its relaxed geometry.

Lattice parameters (Å, degrees): 3.6217 3.6217 3.6217 90.00 90.00 90.00
Element x y z (fractional)
H1 0.0000 0.5000 0.0000
H2 0.0000 0.0000 0.5000
Au1 0.0000 0.0000 0.0000
H3 0.5000 0.0000 0.0000
Hf1 0.5000 0.5000 0.5000

Values from the calculation:
Uncorrected energy, eV per atom: -4.5957
Magnetic moment, μB/f.u.: 0.00
Space group: Pm-3m



# 5
VASP calculation (PBEsol) on crystalline HfH2Au at its relaxed geometry.

Lattice parameters (Å, degrees): 3.9325 3.9325 3.9325 60.00 60.00 60.00
Element x y z (fractional)
H1 0.7500 0.7500 0.7500
Hf1 0.0000 0.0000 0.0000
H2 0.2500 0.2500 0.2500
Au1 0.5000 0.5000 0.5000

Values from the calculation:
Uncorrected energy, eV per atom: -5.2758
Magnetic moment, μB/f.u.: 0.00
Space group: Fm-3m



# 6
VASP calculation (PBEsol) on crystalline NaHg2HAu at its relaxed geometry.

Lattice parameters (Å, degrees): 3.4780 5.3055 5.3055 90.00 90.00 90.00
Element x y z (fractional)
Hg1 0.0000 0.5000 0.0000
Na1 0.5000 0.5000 0.5000
H1 0.0000 0.0000 0.0000
Au1 0.5000 0.0000 0.0000
Hg2 0.0000 0.0000 0.5000

Values from the calculation:
Uncorrected energy, eV per atom: -1.9018
Magnetic moment, μB/f.u.: 0.00
Space group: P4/mmm



# 7
VASP calculation (PBEsol) on crystalline HgHAu2Se at its relaxed geometry.

Lattice parameters (Å, degrees): 3.3926 5.2552 5.2552 90.00 90.00 90.00
Element x y z (fractional)
Se1 0.5000 0.5000 0.5000
Hg1 0.0000 0.0000 0.0000
H1 0.5000 0.0000 0.0000
Au1 0.0000 0.0000 0.5000
Au2 0.0000 0.5000 0.0000

Values from the calculation:
Uncorrected energy, eV per atom: -2.5072
Magnetic moment, μB/f.u.: 0.00
Space group: P4/mmm



# 8
VASP calculation (PBEsol) on crystalline YHgHAu2 at its relaxed geometry.

Lattice parameters (Å, degrees): 5.3945 5.3945 5.9222 90.00 90.00 90.00
Element x y z (fractional)
Au1 0.5000 0.0000 0.0000
Au2 0.0000 0.5000 0.0000
H1 0.5000 0.5000 0.5000
Y1 0.0000 0.0000 0.0000
Hg1 0.0000 0.0000 0.5000

Values from the calculation:
Uncorrected energy, eV per atom: -2.7880
Magnetic moment, μB/f.u.: 0.39
Space group: P4/mmm



# 9
VASP calculation (PBEsol) on crystalline H3AuI at its relaxed geometry.

Lattice parameters (Å, degrees): 3.9043 3.9043 3.9043 90.00 90.00 90.00
Element x y z (fractional)
H1 0.0000 0.5000 0.0000
H2 0.0000 0.0000 0.5000
Au1 0.0000 0.0000 0.0000
H3 0.5000 0.0000 0.0000
I1 0.5000 0.5000 0.5000

Values from the calculation:
Uncorrected energy, eV per atom: -2.4628
Magnetic moment, μB/f.u.: 0.00
Space group: Pm-3m



# 10
VASP calculation (PBEsol) on crystalline HAuIO2 at its relaxed geometry.

Lattice parameters (Å, degrees): 3.4590 4.1717 4.1717 90.00 90.00 90.00
Element x y z (fractional)
I1 0.5000 0.0000 0.0000
O1 0.0000 0.5000 0.0000
O2 0.0000 0.0000 0.5000
H1 0.0000 0.0000 0.0000
Au1 0.5000 0.5000 0.5000

Values from the calculation:
Uncorrected energy, eV per atom: -2.8703
Magnetic moment, μB/f.u.: 0.46
Space group: P4/mmm



# 11
VASP calculation (PBEsol) on crystalline Sb2HAuI at its relaxed geometry.

Lattice parameters (Å, degrees): 4.3973 4.3973 5.4529 90.00 90.00 90.00
Element x y z (fractional)
Sb1 0.5000 0.0000 0.0000
Au1 0.5000 0.5000 0.5000
Sb2 0.0000 0.5000 0.0000
H1 0.0000 0.0000 0.0000
I1 0.0000 0.0000 0.5000

Values from the calculation:
Uncorrected energy, eV per atom: -3.0615
Magnetic moment, μB/f.u.: 0.00
Space group: P4/mmm



# 12
VASP calculation (PBEsol) on crystalline HIrAu3 at its relaxed geometry.

Lattice parameters (Å, degrees): 4.0772 4.0772 4.0772 90.00 90.00 90.00
Element x y z (fractional)
Ir1 0.5000 0.5000 0.5000
H1 0.0000 0.0000 0.0000
Au1 0.0000 0.5000 0.0000
Au2 0.0000 0.0000 0.5000
Au3 0.5000 0.0000 0.0000

Values from the calculation:
Uncorrected energy, eV per atom: -4.4635
Magnetic moment, μB/f.u.: 0.00
Space group: Pm-3m



# 13
VASP calculation (PBEsol) on crystalline HIrOsAu2 at its relaxed geometry.

Lattice parameters (Å, degrees): 4.6037 5.0090 5.0090 90.00 90.00 90.00
Element x y z (fractional)
Au1 0.0000 0.0000 0.5000
Ir1 0.5000 0.0000 0.0000
H1 0.5000 0.5000 0.5000
Os1 0.0000 0.0000 0.0000
Au2 0.0000 0.5000 0.0000

Values from the calculation:
Uncorrected energy, eV per atom: -4.5377
Magnetic moment, μB/f.u.: 0.86
Space group: P4/mmm



# 14
VASP calculation (PBEsol) on crystalline HIr2PbAu at its relaxed geometry.

Lattice parameters (Å, degrees): 4.0440 4.1523 4.1523 90.00 90.00 90.00
Element x y z (fractional)
Au1 0.5000 0.0000 0.0000
Pb1 0.5000 0.5000 0.5000
H1 0.0000 0.0000 0.0000
Ir1 0.0000 0.5000 0.0000
Ir2 0.0000 0.0000 0.5000

Values from the calculation:
Uncorrected energy, eV per atom: -5.7410
Magnetic moment, μB/f.u.: 0.00
Space group: P4/mmm



# 15
VASP calculation (PBEsol) on crystalline K3HAu at its relaxed geometry.

Lattice parameters (Å, degrees): 5.2304 5.2304 5.2304 90.00 90.00 90.00
Element x y z (fractional)
K1 0.5000 0.0000 0.0000
K2 0.0000 0.5000 0.0000
K3 0.0000 0.0000 0.5000
Au1 0.5000 0.5000 0.5000
H1 0.0000 0.0000 0.0000

Values from the calculation:
Uncorrected energy, eV per atom: -2.1915
Magnetic moment, μB/f.u.: 0.00
Space group: Pm-3m



# 16
VASP calculation (PBEsol) on crystalline KH2Au at its relaxed geometry.

Lattice parameters (Å, degrees): 5.5167 5.5167 5.5167 91.95 118.88 118.88
Element x y z (fractional)
H1 0.3528 0.9778 0.1250
H2 0.8528 0.8750 0.2278
Au1 0.5000 0.7500 0.2500
H3 0.1472 0.3750 0.0222
Au2 0.0000 0.0000 0.0000
K1 0.0000 0.5000 0.5000
K2 0.5000 0.2500 0.7500
H4 0.6472 0.7722 0.6250

Values from the calculation:
Uncorrected energy, eV per atom: -3.0663
Magnetic moment, μB/f.u.: 0.00
Space group: I-42d



# 17
VASP calculation (PBEsol) on crystalline K2LiHAu at its relaxed geometry.

Lattice parameters (Å, degrees): 4.0365 5.5163 5.5163 90.00 90.00 90.00
Element x y z (fractional)
K1 0.0000 0.5000 0.0000
H1 0.0000 0.0000 0.0000
Au1 0.5000 0.5000 0.5000
Li1 0.5000 0.0000 0.0000
K2 0.0000 0.0000 0.5000

Values from the calculation:
Uncorrected energy, eV per atom: -2.3532
Magnetic moment, μB/f.u.: 0.50
Space group: P4/mmm



# 18
VASP calculation (PBEsol) on crystalline K2ReHAu at its relaxed geometry.

Lattice parameters (Å, degrees): 5.0141 6.1551 6.1551 90.00 90.00 90.00
Element x y z (fractional)
H1 0.5000 0.5000 0.5000
Re1 0.5000 0.0000 0.0000
Au1 0.0000 0.0000 0.0000
K1 0.0000 0.5000 0.0000
K2 0.0000 0.0000 0.5000

Values from the calculation:
Uncorrected energy, eV per atom: -3.2153
Magnetic moment, μB/f.u.: 3.88
Space group: P4/mmm



# 19
VASP calculation (PBEsol) on crystalline La3HAu at its relaxed geometry.

Lattice parameters (Å, degrees): 4.8996 4.8996 4.8996 90.00 90.00 90.00
Element x y z (fractional)
Au1 0.5000 0.5000 0.5000
La1 0.0000 0.5000 0.0000
La2 0.0000 0.0000 0.5000
H1 0.0000 0.0000 0.0000
La3 0.5000 0.0000 0.0000

Values from the calculation:
Uncorrected energy, eV per atom: -4.9577
Magnetic moment, μB/f.u.: 0.00
Space group: Pm-3m



# 20
VASP calculation (PBEsol) on crystalline La2H2Au at its relaxed geometry.

Lattice parameters (Å, degrees): 3.7721 3.7721 7.0882 105.43 105.43 90.00
Element x y z (fractional)
H1 0.7500 0.2500 0.5000
Au1 0.0000 0.0000 0.0000
H2 0.2500 0.7500 0.5000
La1 0.6406 0.6406 0.2812
La2 0.3594 0.3594 0.7188

Values from the calculation:
Uncorrected energy, eV per atom: -4.8991
Magnetic moment, μB/f.u.: 0.00
Space group: I4/mmm